This record from Alexandria describes crystalline RbLiMoO4 at its relaxed geometry. The functional is PBE+U.

a b c (Å): 5.7490 5.7490 10.1938
angles (deg): 72.25 72.25 60.58
Last column: nearest neighbours and their distance in Å.
Positions (direct):
O (0.9989, 0.9167, 0.7219)  1 Mo 1.80, 1 Li 1.94
O (0.9167, 0.9989, 0.2219)  1 Mo 1.80, 1 Li 1.94
O (0.7045, 0.2753, 0.9299)  1 Mo 1.80, 1 Li 1.95
O (0.8610, 0.4970, 0.6354)  1 Mo 1.80, 1 Li 1.96
O (0.4970, 0.8610, 0.1354)  1 Mo 1.80, 1 Li 1.96
O (0.3154, 0.4293, 0.2191)  1 Mo 1.80, 1 Li 1.96
O (0.4293, 0.3154, 0.7191)  1 Mo 1.80, 1 Li 1.96
O (0.2753, 0.7045, 0.4299)  1 Mo 1.80, 1 Li 1.95
Li (0.6152, 0.1321, 0.1279)  4 O 1.94-1.96
Li (0.1321, 0.6152, 0.6279)  4 O 1.94-1.96
Mo (0.7477, 0.2516, 0.7514)  4 O 1.80
Mo (0.2516, 0.7477, 0.2514)  4 O 1.80
Rb (0.0297, 0.4755, 0.9994)  6 O 2.96-3.18
Rb (0.4755, 0.0297, 0.4994)  6 O 2.96-3.18

## Properties
total magnetization	0.0	μB/cell
space-group type	Cc
crystal system	monoclinic
electronic total energy	-6.196	eV/atom
D(E_F)	0.0	states/eV/f.u.

***

This record from Alexandria describes crystalline RbLiMoO4 at its relaxed geometry. The functional is PBE+U.

a b c (Å): 5.8922 5.8922 5.9702
angles (deg): 119.57 119.57 90.00
Last column: nearest neighbours and their distance in Å.
Positions (direct):
Mo (0.2500, 0.7500, 0.5000)  4 O 1.80
O (0.3618, 0.7226, 0.2592)  1 Mo 1.80, 1 Li 2.00
O (0.8973, 0.5366, 0.2592)  1 Mo 1.80, 1 Li 2.00
O (0.4634, 0.6382, 0.7408)  1 Mo 1.80, 1 Li 2.00
O (0.2774, 0.1027, 0.7408)  1 Mo 1.80, 1 Li 2.00
Rb (0.0000, 0.0000, 0.0000)  4 O 2.98
Li (0.5000, 0.5000, 0.0000)  4 O 2.00

## Properties
total magnetization	0.0	μB/cell
space-group type	I-4
crystal system	tetragonal
electronic total energy	-6.140	eV/atom
D(E_F)	0.0	states/eV/f.u.

***

This record from Alexandria describes crystalline Rb3LiZn2Mo4O16 at its relaxed geometry. The functional is PBE+U.

a b c (Å): 10.5662 10.5662 10.5662
angles (deg): 109.06 109.06 110.30
Last column: nearest neighbours and their distance in Å.
Positions (direct):
O (0.9437, 0.0521, 0.4494)  1 Mo 1.83, 1 Zn 1.95
O (0.4450, 0.3247, 0.1814)  1 Mo 1.83, 1 Zn 1.95
O (0.5747, 0.1950, 0.6814)  1 Mo 1.83, 1 Zn 1.95
O (0.9479, 0.3972, 0.8916)  1 Mo 1.83, 1 Zn 1.95
O (0.4444, 0.7616, 0.5130)  1 Mo 1.78, 1 Li 1.97
O (0.3718, 0.1276, 0.8728)  1 Mo 1.76
O (0.1814, 0.9985, 0.9870)  1 Mo 1.78, 1 Li 1.97
O (0.8724, 0.7452, 0.2442)  1 Mo 1.76
O (0.6753, 0.8567, 0.1203)  1 Mo 1.83, 1 Zn 1.95
O (0.8056, 0.8186, 0.8172)  1 Mo 1.78, 1 Li 1.97
O (0.3063, 0.2556, 0.6084)  1 Mo 1.83, 1 Zn 1.95
O (0.5010, 0.6282, 0.7558)  1 Mo 1.76
O (0.2485, 0.9314, 0.4870)  1 Mo 1.78, 1 Li 1.97
O (0.0015, 0.9884, 0.1828)  1 Mo 1.78, 1 Li 1.97
O (0.3776, 0.1218, 0.3728)  1 Mo 1.76
O (0.0116, 0.1944, 0.0130)  1 Mo 1.78, 1 Li 1.97
O (0.8782, 0.2510, 0.2558)  1 Mo 1.76
O (0.6472, 0.6979, 0.3916)  1 Mo 1.83, 1 Zn 1.95
O (0.7444, 0.3528, 0.0506)  1 Mo 1.83, 1 Zn 1.95
O (0.7364, 0.5550, 0.8797)  1 Mo 1.83, 1 Zn 1.95
O (0.9952, 0.6224, 0.7442)  1 Mo 1.76
O (0.3021, 0.6937, 0.9494)  1 Mo 1.83, 1 Zn 1.95
O (0.8050, 0.4864, 0.3797)  1 Mo 1.83, 1 Zn 1.95
O (0.2548, 0.4990, 0.1272)  1 Mo 1.76
O (0.7490, 0.0048, 0.6272)  1 Mo 1.76
O (0.6028, 0.4944, 0.5506)  1 Mo 1.83, 1 Zn 1.95
O (0.1067, 0.4253, 0.6203)  1 Mo 1.83, 1 Zn 1.95
O (0.5056, 0.0563, 0.1084)  1 Mo 1.83, 1 Zn 1.95
O (0.0686, 0.5556, 0.3172)  1 Mo 1.78, 1 Li 1.97
O (0.2384, 0.7515, 0.6828)  1 Mo 1.78, 1 Li 1.97
O (0.5136, 0.8933, 0.3186)  1 Mo 1.83, 1 Zn 1.95
O (0.1433, 0.2636, 0.8186)  1 Mo 1.83, 1 Zn 1.95
Rb (0.5000, 0.5000, 0.0000)  12 O 3.12-3.44
Rb (0.1250, 0.7588, 0.1338)  12 O 3.11-3.46
Rb (0.0088, 0.8750, 0.6338)  12 O 3.11-3.46
Rb (0.7500, 0.2500, 0.5000)  12 O 3.12-3.44
Rb (0.2412, 0.3750, 0.3662)  12 O 3.11-3.46
Rb (0.6250, 0.9912, 0.8662)  12 O 3.11-3.46
Mo (0.6642, 0.6245, 0.7503)  4 O 1.76-1.83
Mo (0.8745, 0.4142, 0.2503)  4 O 1.76-1.83
Mo (0.3758, 0.1255, 0.5396)  4 O 1.76-1.83
Mo (0.0862, 0.3358, 0.9604)  4 O 1.76-1.83
Mo (0.3755, 0.1258, 0.0396)  4 O 1.76-1.83
Mo (0.8742, 0.9138, 0.2497)  4 O 1.76-1.83
Mo (0.5858, 0.8362, 0.4604)  4 O 1.76-1.83
Mo (0.1638, 0.6242, 0.7497)  4 O 1.76-1.83
Li (0.2500, 0.7500, 0.5000)  4 O 1.97
Li (0.0000, 0.0000, 0.0000)  4 O 1.97
Zn (0.4988, 0.8750, 0.1238)  4 O 1.95
Zn (0.7512, 0.3750, 0.8762)  4 O 1.95
Zn (0.6250, 0.5012, 0.3762)  4 O 1.95
Zn (0.1250, 0.2488, 0.6238)  4 O 1.95

## Properties
total magnetization	0.0	μB/cell
space-group type	I-42d
crystal system	tetragonal
electronic total energy	-6.180	eV/atom
D(E_F)	0.0	states/eV/f.u.

***

This record from Alexandria describes crystalline Li2MoRhO6 at its relaxed geometry. The functional is PBE+U.

a b c (Å): 3.9314 5.5619 5.5619
angles (deg): 90.00 90.00 90.00
Last column: nearest neighbours and their distance in Å.
Positions (direct):
O (0.2119, 0.5000, 0.5000)  2 Rh 1.95-1.98
O (0.7262, 0.7573, 0.2427)  1 Mo 1.93, 1 Rh 2.03, 2 Li 2.05
O (0.7262, 0.7573, 0.7573)  1 Mo 1.93, 1 Rh 2.03, 2 Li 2.05
O (0.7262, 0.2427, 0.2427)  1 Mo 1.93, 1 Rh 2.03, 2 Li 2.05
O (0.2099, 0.0000, 0.0000)  1 Mo 1.78
O (0.7262, 0.2427, 0.7573)  1 Mo 1.93, 1 Rh 2.03, 2 Li 2.05
Mo (0.6621, 0.0000, 0.0000)  5 O 1.78-1.93
Li (0.8748, 0.5000, 0.0000)  4 O 2.05
Li (0.8748, 0.0000, 0.5000)  4 O 2.05
Rh (0.7086, 0.5000, 0.5000)  6 O 1.95-2.03

## Properties
total magnetization	1.0	μB/cell
space-group type	P4mm
crystal system	tetragonal
electronic total energy	-6.146	eV/atom
D(E_F)	1.6	states/eV/f.u.

***

This record from Alexandria describes crystalline LiMoRuO6 at its relaxed geometry. The functional is PBE+U.

a b c (Å): 4.7614 4.7614 8.9227
angles (deg): 90.00 90.00 90.00
Last column: nearest neighbours and their distance in Å.
Positions (direct):
O (0.8176, 0.1824, 0.5001)  1 Ru 1.96, 1 Mo 1.98, 1 Li 2.14
O (0.7079, 0.7079, 0.3173)  1 Mo 1.90, 1 Ru 1.97
O (0.2921, 0.2921, 0.3173)  1 Mo 1.90, 1 Ru 1.97
O (0.7921, 0.2079, 0.8173)  1 Mo 1.90, 1 Ru 1.97
O (0.2078, 0.7922, 0.1796)  1 Ru 1.93, 1 Mo 1.97, 1 Li 2.11
O (0.7922, 0.2078, 0.1796)  1 Ru 1.93, 1 Mo 1.97, 1 Li 2.11
O (0.2079, 0.7921, 0.8173)  1 Mo 1.90, 1 Ru 1.97
O (0.6824, 0.6824, 0.0001)  1 Ru 1.96, 1 Mo 1.98, 1 Li 2.14
O (0.3176, 0.3176, 0.0001)  1 Ru 1.96, 1 Mo 1.98, 1 Li 2.14
O (0.1824, 0.8176, 0.5001)  1 Ru 1.96, 1 Mo 1.98, 1 Li 2.14
O (0.7078, 0.7078, 0.6796)  1 Ru 1.93, 1 Mo 1.97, 1 Li 2.11
O (0.2922, 0.2922, 0.6796)  1 Ru 1.93, 1 Mo 1.97, 1 Li 2.11
Mo (0.0000, 0.0000, 0.6741)  6 O 1.90-1.98
Mo (0.5000, 0.5000, 0.1741)  6 O 1.90-1.98
Ru (0.5000, 0.5000, 0.8286)  6 O 1.93-1.97
Ru (0.0000, 0.0000, 0.3286)  6 O 1.93-1.97
Li (0.5000, 0.5000, 0.5033)  6 O 2.11-2.17
Li (0.0000, 0.0000, 0.0033)  6 O 2.11-2.17

## Properties
total magnetization	4.7	μB/cell
space-group type	P4_2nm
crystal system	tetragonal
electronic total energy	-6.675	eV/atom
D(E_F)	3.9	states/eV/f.u.

***

This record from Alexandria describes crystalline Li2MoSO8 at its relaxed geometry. The functional is PBE+U.

a b c (Å): 5.6164 5.6164 5.1711
angles (deg): 90.00 90.00 120.00
Last column: nearest neighbours and their distance in Å.
Positions (direct):
O (0.8610, 0.1390, 0.8001)  1 S 1.70
O (0.2780, 0.1390, 0.8001)  1 S 1.70
O (0.1390, 0.2780, 0.1999)  1 S 1.70
O (0.7220, 0.8610, 0.1999)  1 S 1.70
O (0.3333, 0.6667, 0.7072)  1 Li 2.01
O (0.8610, 0.7220, 0.8001)  1 S 1.70
O (0.1390, 0.8610, 0.1999)  1 S 1.70
O (0.6667, 0.3333, 0.2928)  1 Li 2.01
Mo (0.0000, 0.0000, 0.5000)  6 O 2.06
Li (0.3333, 0.6667, 0.0964)  4 O 1.96-2.01
Li (0.6667, 0.3333, 0.9036)  4 O 1.96-2.01
S (0.0000, 0.0000, 0.0000)  6 O 1.70

## Properties
total magnetization	2.0	μB/cell
space-group type	P-3m1
crystal system	trigonal
electronic total energy	-5.233	eV/atom
D(E_F)	6.3	states/eV/f.u.

***

This record from Alexandria describes crystalline LiSb2MoO8 at its relaxed geometry. The functional is PBE+U.

a b c (Å): 4.7309 4.7297 6.2774
angles (deg): 90.00 90.00 88.30
Last column: nearest neighbours and their distance in Å.
Positions (direct):
O (0.1990, 0.8001, 0.7658)  1 Mo 1.97, 1 Sb 1.99, 1 Li 2.12
O (0.1989, 0.8000, 0.2342)  1 Mo 1.97, 1 Sb 1.99, 1 Li 2.12
O (0.6921, 0.6930, 0.5000)  2 Sb 2.00, 1 Li 2.09
O (0.6973, 0.6980, 0.0000)  1 Mo 2.05, 2 Sb 2.11
O (0.8011, 0.2000, 0.7658)  1 Mo 1.97, 1 Sb 1.99, 1 Li 2.12
O (0.3027, 0.3020, 0.0000)  1 Mo 2.05, 2 Sb 2.11
O (0.3079, 0.3070, 0.5000)  2 Sb 2.00, 1 Li 2.09
O (0.8010, 0.1999, 0.2342)  1 Mo 1.97, 1 Sb 1.99, 1 Li 2.12
Mo (0.0000, 0.0000, 0.0000)  6 O 1.97-2.05
Li (0.0000, 0.0000, 0.5000)  6 O 2.09-2.12
Sb (0.5000, 0.5000, 0.7409)  6 O 1.99-2.11
Sb (0.5000, 0.5000, 0.2591)  6 O 1.99-2.11

## Properties
total magnetization	1.0	μB/cell
space-group type	Cmmm
crystal system	orthorhombic
electronic total energy	-6.272	eV/atom

***

This record from Alexandria describes crystalline LiSbMo2O8 at its relaxed geometry. The functional is PBE+U.

a b c (Å): 11.3751 11.3751 5.6442
angles (deg): 79.73 79.73 25.40
Last column: nearest neighbours and their distance in Å.
Positions (direct):
O (0.1186, 0.3001, 0.2231)  1 Mo 1.76
O (0.9320, 0.8601, 0.9750)  1 Mo 1.81
O (0.3001, 0.1186, 0.7231)  1 Mo 1.76
O (0.8814, 0.6999, 0.7769)  1 Mo 1.76
O (0.3013, 0.3777, 0.4585)  1 Mo 1.82
O (0.1399, 0.0680, 0.5250)  1 Mo 1.81
O (0.3777, 0.3013, 0.9585)  1 Mo 1.82
O (0.4619, 0.6422, 0.8844)  2 Sb 2.04-2.23, 1 Mo 2.11
O (0.8601, 0.9320, 0.4750)  1 Mo 1.81
O (0.0680, 0.1399, 0.0250)  1 Mo 1.81
O (0.6987, 0.6223, 0.5415)  1 Mo 1.82
O (0.6422, 0.4619, 0.3844)  2 Sb 2.04-2.23, 1 Mo 2.11
O (0.5381, 0.3578, 0.1156)  2 Sb 2.04-2.23, 1 Mo 2.11
O (0.6999, 0.8814, 0.2769)  1 Mo 1.76
O (0.3578, 0.5381, 0.6156)  2 Sb 2.04-2.23, 1 Mo 2.11
O (0.6223, 0.6987, 0.0415)  1 Mo 1.82
Mo (0.1082, 0.6163, 0.7721)  3 O 1.76-1.82
Mo (0.6163, 0.1082, 0.2721)  3 O 1.76-1.82
Mo (0.8918, 0.3837, 0.2279)  3 O 1.76-1.82
Mo (0.3837, 0.8918, 0.7279)  3 O 1.76-1.82
Li (0.0000, 0.5000, 0.5000)  6 O 2.10-2.23
Li (0.5000, 0.0000, 0.0000)  6 O 2.10-2.23
Sb (0.3118, 0.6882, 0.2500)  4 O 2.04-2.23
Sb (0.6882, 0.3118, 0.7500)  4 O 2.04-2.23

## Properties
total magnetization	0.0	μB/cell
space-group type	C2/c
crystal system	monoclinic
electronic total energy	-6.610	eV/atom
D(E_F)	0.0	states/eV/f.u.

***

This record from Alexandria describes crystalline Li2SbMoO6 at its relaxed geometry. The functional is PBE+U.

a b c (Å): 4.0845 5.6736 5.6736
angles (deg): 90.00 90.00 90.00
Last column: nearest neighbours and their distance in Å.
Positions (direct):
O (0.7346, 0.7627, 0.2373)  1 Mo 1.94, 2 Li 2.12, 1 Sb 2.12
O (0.7346, 0.2373, 0.2373)  1 Mo 1.94, 2 Li 2.12, 1 Sb 2.12
O (0.2098, 0.0000, 0.0000)  1 Mo 1.76
O (0.1804, 0.5000, 0.5000)  2 Sb 2.00-2.09
O (0.7346, 0.7627, 0.7627)  1 Mo 1.94, 2 Li 2.12, 1 Sb 2.12
O (0.7346, 0.2373, 0.7627)  1 Mo 1.94, 2 Li 2.12, 1 Sb 2.12
Li (0.9036, 0.5000, 0.0000)  4 O 2.12
Li (0.9036, 0.0000, 0.5000)  4 O 2.12
Mo (0.6413, 0.0000, 0.0000)  5 O 1.76-1.94
Sb (0.6698, 0.5000, 0.5000)  6 O 2.00-2.12

## Properties
total magnetization	0.0	μB/cell
space-group type	P4mm
crystal system	tetragonal
electronic total energy	-6.057	eV/atom
D(E_F)	0.8	states/eV/f.u.

***

This record from Alexandria describes crystalline LiScMo2O8 at its relaxed geometry. The functional is PBE+U.

a b c (Å): 5.9200 5.9200 5.9200
angles (deg): 107.17 107.17 114.17
Last column: nearest neighbours and their distance in Å.
Positions (direct):
O (0.7966, 0.0888, 0.7078)  1 Mo 1.79
O (0.9112, 0.2034, 0.2922)  1 Mo 1.79
O (0.3810, 0.0888, 0.2922)  1 Mo 1.79
O (0.3208, 0.5174, 0.1966)  1 Mo 1.80
O (0.9112, 0.6190, 0.7078)  1 Mo 1.79
O (0.3208, 0.1242, 0.8034)  1 Mo 1.80
O (0.4826, 0.6792, 0.8034)  1 Mo 1.80
O (0.8758, 0.6792, 0.1966)  1 Mo 1.80
Mo (0.7500, 0.2500, 0.5000)  4 O 1.79
Mo (0.5000, 0.5000, 0.0000)  4 O 1.80
Sc (0.0000, 0.0000, 0.0000)  4 O 2.13
Li (0.2500, 0.7500, 0.5000)  4 O 2.18

## Properties
total magnetization	0.0	μB/cell
space-group type	I-4m2
crystal system	tetragonal
electronic total energy	-7.196	eV/atom
D(E_F)	0.0	states/eV/f.u.

***

This record from Alexandria describes crystalline Li3Sc3MoO8 at its relaxed geometry. The functional is PBE+U.

a b c (Å): 6.2495 6.2983 6.0948
angles (deg): 120.30 90.00 119.74
Last column: nearest neighbours and their distance in Å.
Positions (direct):
O (0.7684, 0.0159, 0.2795)  1 Mo 2.05, 2 Sc 2.14-2.16, 1 Li 2.23
O (0.2378, 0.4755, 0.7232)  1 Mo 2.12, 2 Sc 2.13, 2 Li 2.25
O (0.7388, 0.4777, 0.7246)  3 Sc 2.13, 3 Li 2.24-2.32
O (0.7622, 0.5245, 0.2768)  1 Mo 2.12, 2 Sc 2.13, 2 Li 2.25
O (0.2612, 0.5223, 0.2754)  3 Sc 2.13, 3 Li 2.24-2.32
O (0.7525, 0.9841, 0.7205)  1 Mo 2.05, 2 Sc 2.14-2.16, 1 Li 2.23
O (0.2316, 0.9841, 0.7205)  1 Mo 2.05, 2 Sc 2.14-2.16, 1 Li 2.23
O (0.2475, 0.0159, 0.2795)  1 Mo 2.05, 2 Sc 2.14-2.16, 1 Li 2.23
Sc (0.5000, 0.0000, 0.5000)  6 O 2.13-2.14
Sc (0.5000, 0.5000, 0.5000)  6 O 2.13-2.16
Sc (0.0000, 0.5000, 0.5000)  6 O 2.13-2.16
Mo (0.0000, 0.0000, 0.5000)  6 O 2.05-2.12
Li (0.0000, 0.5000, 0.0000)  6 O 2.24-2.30
Li (0.5000, 0.5000, 0.0000)  6 O 2.24-2.30
Li (0.0000, 0.0000, 0.0000)  6 O 2.23-2.32

## Properties
total magnetization	2.0	μB/cell
space-group type	C2/m
crystal system	monoclinic
electronic total energy	-7.443	eV/atom
D(E_F)	0.0	states/eV/f.u.

***

This record from Alexandria describes crystalline Li3Sc2MoO6 at its relaxed geometry. The functional is PBE+U.

a b c (Å): 5.4140 5.4140 5.2956
angles (deg): 99.82 99.82 120.01
Last column: nearest neighbours and their distance in Å.
Positions (direct):
Li (0.8327, 0.1673, 0.5000)  6 O 2.21-2.26
Li (0.1673, 0.8327, 0.5000)  6 O 2.21-2.26
Li (0.5000, 0.5000, 0.5000)  6 O 2.21-2.26
O (0.0777, 0.4179, 0.2329)  2 Sc 2.13, 1 Mo 2.18, 3 Li 2.21-2.26
O (0.2621, 0.2621, 0.7659)  2 Sc 2.13, 1 Mo 2.18, 3 Li 2.21-2.26
O (0.7379, 0.7379, 0.2341)  2 Sc 2.13, 1 Mo 2.18, 3 Li 2.21-2.26
O (0.4179, 0.0777, 0.2329)  2 Sc 2.13, 1 Mo 2.18, 3 Li 2.21-2.26
O (0.9223, 0.5821, 0.7671)  2 Sc 2.13, 1 Mo 2.18, 3 Li 2.21-2.26
O (0.5821, 0.9223, 0.7671)  2 Sc 2.13, 1 Mo 2.18, 3 Li 2.21-2.26
Mo (0.0000, 0.0000, 0.0000)  6 O 2.18
Sc (0.3334, 0.6666, 0.0000)  6 O 2.13
Sc (0.6666, 0.3334, 0.0000)  6 O 2.13

## Properties
total magnetization	3.0	μB/cell
space-group type	C2/m
crystal system	monoclinic
electronic total energy	-7.171	eV/atom
D(E_F)	0.0	states/eV/f.u.